{
  "formula": "DyPuAg",
  "functional": "GGA-PBE",
  "state": "relaxed",
  "lattice_angstrom": [[0.000, 3.435, 3.435], [3.435, 0.000, 3.435], [3.435, 3.435, 0.000]],
  "species": ["Ag", "Pu", "Dy"],
  "fractional_positions": [[0.500, 0.500, 0.500], [0.250, 0.250, 0.250], [0.000, 0.000, 0.000]],
  "e_form_ev_per_atom": 0.567,
  "total_magnetization_mub_per_fu": 6.01,
  "sg": "F-43m, No. 216"
}